Record 1
Here is a relaxed Zr3Sb3Pd crystal from the Alexandria database. Energies are from PBE-GGA.

a b c (Å): 4.1720 11.8325 13.0318
angles (deg): 90.00 90.00 90.00
With the nearest neighbours (Å) after each atom.
Sites, in units of the cell vectors:
Zr 0.7500 0.9492 0.6270  6 Sb 2.94-3.00
Pd 0.7500 0.4391 0.3058  4 Sb 2.65-2.91, 2 Zr 2.91
Sb 0.7500 0.9345 0.8569  2 Pd 2.65, 1 Zr 2.88
Pd 0.2500 0.0609 0.8058  4 Sb 2.65-2.91, 2 Zr 2.91
Sb 0.7500 0.4345 0.6431  2 Pd 2.65, 1 Zr 2.88
Sb 0.2500 0.1253 0.5906  1 Pd 2.91, 6 Zr 2.94-3.04
Zr 0.7500 0.4492 0.8730  6 Sb 2.94-3.00
Sb 0.7500 0.3747 0.0906  1 Pd 2.91, 6 Zr 2.94-3.04
Zr 0.7500 0.7102 0.7702  5 Sb 2.88-2.98, 2 Pd 2.91
Sb 0.7500 0.8747 0.4094  1 Pd 2.91, 6 Zr 2.94-3.04
Pd 0.2500 0.5609 0.6942  4 Sb 2.65-2.91, 2 Zr 2.91
Zr 0.7500 0.1415 0.9929  6 Sb 2.98-3.04
Sb 0.2500 0.6253 0.9094  1 Pd 2.91, 6 Zr 2.94-3.04
Sb 0.2500 0.5655 0.3569  2 Pd 2.65, 1 Zr 2.88
Sb 0.7500 0.2260 0.3822  1 Pd 2.71, 6 Zr 2.94-2.98
Zr 0.2500 0.0508 0.3730  6 Sb 2.94-3.00
Zr 0.2500 0.8585 0.0071  6 Sb 2.98-3.04
Pd 0.7500 0.9391 0.1942  4 Sb 2.65-2.91, 2 Zr 2.91
Zr 0.2500 0.2898 0.2298  5 Sb 2.88-2.98, 2 Pd 2.91
Sb 0.7500 0.7260 0.1178  1 Pd 2.71, 6 Zr 2.94-2.98
Zr 0.7500 0.2102 0.7298  5 Sb 2.88-2.98, 2 Pd 2.91
Zr 0.2500 0.5508 0.1270  6 Sb 2.94-3.00
Zr 0.2500 0.7898 0.2702  5 Sb 2.88-2.98, 2 Pd 2.91
Sb 0.2500 0.7740 0.6178  1 Pd 2.71, 6 Zr 2.94-2.98
Sb 0.2500 0.0655 0.1431  2 Pd 2.65, 1 Zr 2.88
Sb 0.2500 0.2740 0.8822  1 Pd 2.71, 6 Zr 2.94-2.98
Zr 0.7500 0.6415 0.5071  6 Sb 2.98-3.04
Zr 0.2500 0.3585 0.4929  6 Sb 2.98-3.04

- formation energy without anion corrections (kcal/mol of atoms) = -15.44
- Fermi-level density of states (states/eV/atom) = 0.625

=====

Record 2
Here is a relaxed LaPuF2 crystal from the Alexandria database. Energies are from PBE-GGA.

a b c (Å): 4.1139 4.1139 6.7970
angles (deg): 72.38 72.38 60.00
With the nearest neighbours (Å) after each atom.
Sites, in units of the cell vectors:
La 0.0000 0.0000 0.0000  2 F 2.50
Pu 0.5000 0.5000 0.5000  6 F 2.47
F 0.8692 0.8692 0.3925  3 Pu 2.47, 1 La 2.50, 3 F 2.74
F 0.1308 0.1308 0.6075  3 Pu 2.47, 1 La 2.50, 3 F 2.74

- formation energy without anion corrections (kcal/mol of atoms) = -54.13
- Fermi-level density of states (states/eV/atom) = 1.882

=====

Record 3
Here is a relaxed Y4VBi2 crystal from the Alexandria database. Energies are from PBE-GGA.

a b c (Å): 4.9868 4.9868 9.1103
angles (deg): 74.12 74.12 90.00
With the nearest neighbours (Å) after each atom.
Sites, in units of the cell vectors:
Y 0.5000 0.0000 0.0000  2 V 2.49
Bi 0.6411 0.6411 0.7177  5 Y 3.11-3.44
Y 0.1735 0.1735 0.6530  1 V 2.91, 1 Bi 3.11
Bi 0.3589 0.3589 0.2823  5 Y 3.11-3.44
Y 0.8265 0.8265 0.3470  1 V 2.91, 1 Bi 3.11
V 0.0000 0.0000 0.0000  4 Y 2.49
Y 0.0000 0.5000 0.0000  2 V 2.49

- E_form (eV per formula unit) = -0.49
- Fermi-level density of states (states/eV/atom) = 0.727

=====

Record 4
Here is a relaxed Dy2HoErBi4 crystal from the Alexandria database. Energies are from PBE-GGA.

a b c (Å): 4.4640 7.7263 7.7265
angles (deg): 109.46 90.00 90.00
With the nearest neighbours (Å) after each atom.
Sites, in units of the cell vectors:
Dy 0.0000 0.5000 0.5000  6 Bi 3.16
Bi 0.5000 0.2500 0.2485  1 Er 3.14, 2 Ho 3.15, 3 Dy 3.16
Bi 0.0000 0.2510 0.7517  2 Er 3.15, 1 Ho 3.15, 3 Dy 3.16
Bi 0.5000 0.7500 0.7515  1 Er 3.14, 2 Ho 3.15, 3 Dy 3.16
Bi 0.0000 0.7490 0.2483  2 Er 3.15, 1 Ho 3.15, 3 Dy 3.16
Dy 0.5000 0.0000 0.5000  6 Bi 3.16
Er 0.5000 0.5000 0.0000  6 Bi 3.14-3.15
Ho 0.0000 0.0000 0.0000  6 Bi 3.15

- E_form (eV per formula unit) = -6.73
- Fermi-level density of states (states/eV/atom) = 0.156

=====

Question: What is the formula in the fourth record?
Answer: Dy2HoErBi4